# NbTl2Cu2Se4

A geometry-optimized NbTl2Cu2Se4 structure (GGA-PBE, Alexandria via LeMat-Bulk).

Formation energy (no corrections): -425 meV per atom
Fermi-level density of states: 3.67 states/eV/f.u.
Space group: C2/m
Energy: -0.3329 Ry/atom

Cell lengths 3.792, 8.077, 7.372 Å; angles 107.32, 104.90, 90.00 degrees
Element x y z (fractional)
Se1 0.484 0.226 0.969
Se2 0.807 0.821 0.614
Se3 0.516 0.774 0.031
Se4 0.193 0.179 0.386
Cu1 0.679 0.980 0.358
Cu2 0.321 0.020 0.642
Nb1 0.000 0.000 0.000
Tl1 0.862 0.434 0.724
Tl2 0.138 0.566 0.276